First-principles (GGA-PBE) data for a relaxed structure of Pm2PdSe, as listed in the Alexandria database.

a = 7.6724 Å, b = 7.6724 Å, c = 7.6724 Å
α = 31.05°, β = 31.05°, γ = 31.05°
Closest atoms and distances in Å follow each position.
Atoms (fractional coordinates):
Pm1 0.2457 0.2457 0.2457  3 Pd 2.94, 3 Se 3.05
Pm2 0.7543 0.7543 0.7543  3 Pd 2.94, 3 Se 3.05
Pd1 0.5000 0.5000 0.5000  6 Pm 2.94
Se1 0.0000 0.0000 0.0000  6 Pm 3.05

Fermi-level density of states	2.529	states/eV/f.u.
symmetry	R-3m
E above lowest polymorph	0.074	eV per atom
energy	-23.11	eV/cell
formation energy (no corrections)	-1.233	eV per atom